DFT (PBE) results for a geometry-optimized Tm3Sc2In2 structure.

Unit cell a=5.2507 b=3.1861 c=10.9287 alpha=90.00 beta=103.70 gamma=90.00
Closest atoms and distances in Å follow each position.
Space group P2/m (No. 10)
Asymmetric unit:
Tm (0.0000, 0.0000, 0.0000) [1 per cell]  4 Sc 3.02-3.03, 2 Tm 3.19
Tm (0.2884, 0.0000, 0.5790) [2 per cell]  1 Sc 2.96, 4 Tm 3.11-3.19
Sc (0.4310, 0.0000, 0.8579) [2 per cell]  3 Tm 2.96-3.03, 3 Sc 3.02-3.19
In (0.1429, 0.5000, 0.2848) [2 per cell]  2 In 3.19, 8 Tm 3.39-3.51, 4 Sc 3.41-3.44

Calculated values
final energy = -4.51 eV/atom
total moment = 0.113 μB/atom
energy of formation from the pure elements = -0.3 kJ/mol of atoms